Version w
Ac2Tb2Nd7 | GGA-PBE | optimized geometry

```
data_Ac2Tb2Nd7
_cell_length_a 11.136
_cell_length_b 11.136
_cell_length_c 11.136
_cell_angle_alpha 160.86
_cell_angle_beta 69.83
_cell_angle_gamma 113.59
_symmetry_space_group_name_H-M 'P 1'
_symmetry_Int_Tables_number 1
_symmetry_space_group_name_Hall 'P 1'
loop_
_atom_site_label
_atom_site_fract_x
_atom_site_fract_y
_atom_site_fract_z
Ac1 0.201 0.000 0.201
Ac2 0.799 0.000 0.799
Tb1 0.335 0.835 0.500
Tb2 0.779 0.779 0.000
Nd1 0.086 0.086 0.000
Nd2 0.089 0.757 0.332
Nd3 0.400 0.512 0.889
Nd4 0.425 0.757 0.668
Nd5 0.577 0.243 0.334
Nd6 0.623 0.512 0.111
Nd7 0.908 0.243 0.666
```

## Properties
Total moment   0.0 Bohr magnetons per cell
ρ   7.2 g cm⁻³

---

Version x
Ac2Tb2Nd7 | GGA-PBE | optimized geometry

```
data_Ac2Tb2Nd7
_cell_length_a 8.361
_cell_length_b 8.361
_cell_length_c 6.271
_cell_angle_alpha 105.14
_cell_angle_beta 105.14
_cell_angle_gamma 92.60
_symmetry_space_group_name_H-M 'P 1'
_symmetry_Int_Tables_number 1
_symmetry_space_group_name_Hall 'P 1'
loop_
_atom_site_label
_atom_site_fract_x
_atom_site_fract_y
_atom_site_fract_z
Ac1 0.222 0.222 0.091
Ac2 0.778 0.778 0.909
Tb1 0.232 0.768 0.000
Tb2 0.768 0.232 0.000
Nd1 0.000 0.000 0.500
Nd2 0.061 0.591 0.330
Nd3 0.409 0.939 0.670
Nd4 0.419 0.419 0.700
Nd5 0.581 0.581 0.300
Nd6 0.591 0.061 0.330
Nd7 0.939 0.409 0.670
```

## Properties
Total moment   0.0 Bohr magnetons per cell
ρ   7.3 g cm⁻³

---

Calculated relative energies: version w 1.9; version x 0.0, given in kJ/mol of atoms

---

Version w
Ac3TbNd | GGA-PBE | optimized geometry

```
data_Ac3TbNd
_cell_length_a 10.653
_cell_length_b 10.653
_cell_length_c 10.184
_cell_angle_alpha 100.08
_cell_angle_beta 100.08
_cell_angle_gamma 21.06
_symmetry_space_group_name_H-M 'P 1'
_symmetry_Int_Tables_number 1
_symmetry_space_group_name_Hall 'P 1'
loop_
_atom_site_label
_atom_site_fract_x
_atom_site_fract_y
_atom_site_fract_z
Ac1 0.003 0.003 0.289
Ac2 0.189 0.189 0.870
Ac3 0.359 0.359 0.455
Ac4 0.641 0.641 0.545
Ac5 0.811 0.811 0.130
Ac6 0.997 0.997 0.711
Tb1 0.186 0.186 0.265
Tb2 0.814 0.814 0.735
Nd1 0.420 0.420 0.966
Nd2 0.580 0.580 0.034
```

## Properties
Total moment   0.0 Bohr magnetons per cell
ρ   8.0 g cm⁻³

---

Version x
Ac3TbNd | GGA-PBE | optimized geometry

```
data_Ac3TbNd
_cell_length_a 7.262
_cell_length_b 7.262
_cell_length_c 9.359
_cell_angle_alpha 106.49
_cell_angle_beta 106.49
_cell_angle_gamma 62.36
_symmetry_space_group_name_H-M 'P 1'
_symmetry_Int_Tables_number 1
_symmetry_space_group_name_Hall 'P 1'
loop_
_atom_site_label
_atom_site_fract_x
_atom_site_fract_y
_atom_site_fract_z
Ac1 0.096 0.595 0.882
Ac2 0.250 0.250 0.499
Ac3 0.405 0.904 0.118
Ac4 0.595 0.096 0.882
Ac5 0.750 0.750 0.501
Ac6 0.904 0.405 0.118
Tb1 0.443 0.443 0.273
Tb2 0.557 0.557 0.727
Nd1 0.057 0.057 0.729
Nd2 0.943 0.943 0.271
```

## Properties
Total moment   0.0 Bohr magnetons per cell
ρ   7.9 g cm⁻³

---

Calculated relative energies: version w 0.0; version x 8.6, given in kJ/mol of atoms

---

Version w
AcTb7Nd12 | GGA-PBE | optimized geometry

```
data_AcTb7Nd12
_cell_length_a 8.881
_cell_length_b 8.881
_cell_length_c 8.881
_cell_angle_alpha 88.97
_cell_angle_beta 88.97
_cell_angle_gamma 88.97
_symmetry_space_group_name_H-M 'P 1'
_symmetry_Int_Tables_number 1
_symmetry_space_group_name_Hall 'P 1'
loop_
_atom_site_label
_atom_site_fract_x
_atom_site_fract_y
_atom_site_fract_z
Ac1 0.000 0.000 0.000
Tb1 0.061 0.155 0.388
Tb2 0.155 0.388 0.061
Tb3 0.388 0.061 0.155
Tb4 0.500 0.500 0.500
Tb5 0.612 0.939 0.845
Tb6 0.845 0.612 0.939
Tb7 0.939 0.845 0.612
Nd1 0.136 0.720 0.275
Nd2 0.142 0.497 0.627
Nd3 0.275 0.136 0.720
Nd4 0.280 0.725 0.864
Nd5 0.373 0.858 0.503
Nd6 0.497 0.627 0.142
Nd7 0.503 0.373 0.858
Nd8 0.627 0.142 0.497
Nd9 0.720 0.275 0.136
Nd10 0.725 0.864 0.280
Nd11 0.858 0.503 0.373
Nd12 0.864 0.280 0.725
```

## Properties
Total moment   0.0 Bohr magnetons per cell
ρ   7.3 g cm⁻³

---

Version x
AcTb7Nd12 | GGA-PBE | optimized geometry

```
data_AcTb7Nd12
_cell_length_a 10.094
_cell_length_b 10.094
_cell_length_c 10.094
_cell_angle_alpha 109.47
_cell_angle_beta 109.47
_cell_angle_gamma 109.47
_symmetry_space_group_name_H-M 'P 1'
_symmetry_Int_Tables_number 1
_symmetry_space_group_name_Hall 'P 1'
loop_
_atom_site_label
_atom_site_fract_x
_atom_site_fract_y
_atom_site_fract_z
Ac1 0.000 0.000 0.000
Tb1 0.000 0.000 0.500
Tb2 0.000 0.500 0.000
Tb3 0.000 0.500 0.500
Tb4 0.500 0.000 0.000
Tb5 0.500 0.000 0.500
Tb6 0.500 0.500 0.000
Tb7 0.500 0.500 0.500
Nd1 0.002 0.743 0.259
Nd2 0.257 0.259 0.516
Nd3 0.257 0.741 0.998
Nd4 0.259 0.002 0.743
Nd5 0.259 0.516 0.257
Nd6 0.484 0.743 0.741
Nd7 0.516 0.257 0.259
Nd8 0.741 0.484 0.743
Nd9 0.741 0.998 0.257
Nd10 0.743 0.259 0.002
Nd11 0.743 0.741 0.484
Nd12 0.998 0.257 0.741
```

## Properties
Total moment   0.0 Bohr magnetons per cell
ρ   6.4 g cm⁻³

---

Calculated relative energies: version w 0.0; version x 39.7, given in kJ/mol of atoms

---

Version w
AcTb5Nd2 | GGA-PBE | optimized geometry

```
data_AcTb5Nd2
_cell_length_a 7.282
_cell_length_b 14.578
_cell_length_c 5.159
_cell_angle_alpha 90.00
_cell_angle_beta 90.00
_cell_angle_gamma 90.00
_symmetry_space_group_name_H-M 'P 1'
_symmetry_Int_Tables_number 1
_symmetry_space_group_name_Hall 'P 1'
loop_
_atom_site_label
_atom_site_fract_x
_atom_site_fract_y
_atom_site_fract_z
Ac1 0.000 0.000 0.000
Ac2 0.500 0.500 0.000
Tb1 0.000 0.500 0.000
Tb2 0.004 0.253 0.000
Tb3 0.250 0.372 0.500
Tb4 0.250 0.872 0.500
Tb5 0.496 0.753 0.000
Tb6 0.500 0.000 0.000
Tb7 0.504 0.247 0.000
Tb8 0.750 0.128 0.500
Tb9 0.750 0.628 0.500
Tb10 0.996 0.747 0.000
Nd1 0.244 0.628 0.500
Nd2 0.256 0.128 0.500
Nd3 0.744 0.872 0.500
Nd4 0.756 0.372 0.500
```

## Properties
Total moment   0.0 Bohr magnetons per cell
ρ   7.9 g cm⁻³

---

Version x
AcTb5Nd2 | GGA-PBE | optimized geometry

```
data_AcTb5Nd2
_cell_length_a 8.668
_cell_length_b 11.406
_cell_length_c 12.546
_cell_angle_alpha 95.27
_cell_angle_beta 108.43
_cell_angle_gamma 106.24
_symmetry_space_group_name_H-M 'P 1'
_symmetry_Int_Tables_number 1
_symmetry_space_group_name_Hall 'P 1'
loop_
_atom_site_label
_atom_site_fract_x
_atom_site_fract_y
_atom_site_fract_z
Ac1 0.027 0.403 0.180
Ac2 0.098 0.342 0.693
Ac3 0.902 0.658 0.307
Ac4 0.973 0.597 0.820
Tb1 0.041 0.973 0.253
Tb2 0.091 0.784 0.621
Tb3 0.149 0.153 0.054
Tb4 0.167 0.724 0.131
Tb5 0.216 0.533 0.496
Tb6 0.277 0.911 0.934
Tb7 0.294 0.469 0.008
Tb8 0.353 0.845 0.444
Tb9 0.407 0.661 0.808
Tb10 0.474 0.594 0.320
Tb11 0.526 0.406 0.680
Tb12 0.593 0.339 0.192
Tb13 0.647 0.155 0.556
Tb14 0.706 0.531 0.992
Tb15 0.723 0.089 0.066
Tb16 0.784 0.467 0.504
Tb17 0.833 0.276 0.869
Tb18 0.851 0.847 0.946
Tb19 0.909 0.216 0.379
Tb20 0.959 0.027 0.747
Nd1 0.224 0.091 0.567
Nd2 0.345 0.281 0.371
Nd3 0.414 0.219 0.882
Nd4 0.466 0.030 0.245
Nd5 0.534 0.970 0.755
Nd6 0.586 0.781 0.118
Nd7 0.655 0.719 0.629
Nd8 0.776 0.909 0.433
```

## Properties
Total moment   0.0 Bohr magnetons per cell
ρ   7.9 g cm⁻³

---

Calculated relative energies: version w 0.0; version x 0.9, given in kJ/mol of atoms

---

Version w
Ac2TbNd8 | GGA-PBE | optimized geometry

```
data_Ac2TbNd8
_cell_length_a 7.618
_cell_length_b 7.618
_cell_length_c 8.797
_cell_angle_alpha 101.49
_cell_angle_beta 101.49
_cell_angle_gamma 55.30
_symmetry_space_group_name_H-M 'P 1'
_symmetry_Int_Tables_number 1
_symmetry_space_group_name_Hall 'P 1'
loop_
_atom_site_label
_atom_site_fract_x
_atom_site_fract_y
_atom_site_fract_z
Ac1 0.170 0.170 0.203
Ac2 0.830 0.830 0.797
Tb1 0.000 0.000 0.500
Nd1 0.211 0.668 0.160
Nd2 0.273 0.273 0.822
Nd3 0.332 0.789 0.840
Nd4 0.379 0.379 0.514
Nd5 0.621 0.621 0.486
Nd6 0.668 0.211 0.160
Nd7 0.727 0.727 0.178
Nd8 0.789 0.332 0.840
```

## Properties
Total moment   0.0 Bohr magnetons per cell
ρ   7.2 g cm⁻³

---

Version x
Ac2TbNd8 | GGA-PBE | optimized geometry

```
data_Ac2TbNd8
_cell_length_a 10.684
_cell_length_b 10.684
_cell_length_c 5.788
_cell_angle_alpha 93.26
_cell_angle_beta 93.26
_cell_angle_gamma 39.28
_symmetry_space_group_name_H-M 'P 1'
_symmetry_Int_Tables_number 1
_symmetry_space_group_name_Hall 'P 1'
loop_
_atom_site_label
_atom_site_fract_x
_atom_site_fract_y
_atom_site_fract_z
Ac1 0.219 0.219 0.257
Ac2 0.781 0.781 0.743
Tb1 0.500 0.500 0.000
Nd1 0.044 0.044 0.235
Nd2 0.115 0.641 0.268
Nd3 0.324 0.324 0.776
Nd4 0.359 0.885 0.732
Nd5 0.641 0.115 0.268
Nd6 0.676 0.676 0.224
Nd7 0.885 0.359 0.732
Nd8 0.956 0.956 0.765
```

## Properties
Total moment   0.0 Bohr magnetons per cell
ρ   7.0 g cm⁻³

---

Calculated relative energies: version w 0.0; version x 2.5, given in kJ/mol of atoms

---

Version w
Ac2Tb4Nd3 | GGA-PBE | optimized geometry

```
data_Ac2Tb4Nd3
_cell_length_a 3.716
_cell_length_b 3.716
_cell_length_c 27.332
_cell_angle_alpha 90.00
_cell_angle_beta 90.00
_cell_angle_gamma 120.00
_symmetry_space_group_name_H-M 'P 1'
_symmetry_Int_Tables_number 1
_symmetry_space_group_name_Hall 'P 1'
loop_
_atom_site_label
_atom_site_fract_x
_atom_site_fract_y
_atom_site_fract_z
Ac1 0.000 0.000 0.000
Ac2 0.000 0.000 0.232
Tb1 0.000 0.000 0.363
Tb2 0.000 0.000 0.574
Tb3 0.333 0.667 0.675
Tb4 0.333 0.667 0.888
Nd1 0.000 0.000 0.782
Nd2 0.333 0.667 0.119
Nd3 0.333 0.667 0.466
```

## Properties
Total moment   0.0 Bohr magnetons per cell
ρ   7.7 g cm⁻³

---

Version x
Ac2Tb4Nd3 | GGA-PBE | optimized geometry

```
data_Ac2Tb4Nd3
_cell_length_a 6.381
_cell_length_b 6.410
_cell_length_c 8.281
_cell_angle_alpha 82.22
_cell_angle_beta 75.06
_cell_angle_gamma 80.52
_symmetry_space_group_name_H-M 'P 1'
_symmetry_Int_Tables_number 1
_symmetry_space_group_name_Hall 'P 1'
loop_
_atom_site_label
_atom_site_fract_x
_atom_site_fract_y
_atom_site_fract_z
Ac1 0.170 0.329 0.330
Ac2 0.830 0.671 0.670
Tb1 0.277 0.554 0.888
Tb2 0.394 0.774 0.444
Tb3 0.606 0.226 0.556
Tb4 0.723 0.446 0.112
Nd1 0.061 0.111 0.782
Nd2 0.500 0.000 0.000
Nd3 0.939 0.889 0.218
```

## Properties
Total moment   0.0 Bohr magnetons per cell
ρ   7.9 g cm⁻³

---

Calculated relative energies: version w 4.4; version x 0.0, given in kJ/mol of atoms